[1]
VASP calculation (PBE) on a relaxed structure of TmBi2H.

## Properties
Space group   Cm (8)
Density   9.64 g cm⁻³
Total moment   0.00 μB per formula unit
VASP energy   -4.299 eV per atom

a = 3.521 Å, b = 3.521 Å, c = 9.651 Å
α = 89.87°, β = 100.64°, γ = 120.01°
Atoms (fractional coordinates):
Tm 0.708 0.604 0.312
Bi 0.181 0.843 0.023
Bi 0.569 0.032 0.601
H 0.042 0.271 0.314

[2]
VASP calculation (PBE) on a relaxed structure of CsHoTiS4.

## Properties
Space group   P2_1/m (11)
E_form (uncorrected)   -1.611 eV per atom
Density   3.82 g cm⁻³
Total moment   0.00 μB per formula unit
VASP energy   -5.873 eV per atom

a = 6.613 Å, b = 6.879 Å, c = 9.561 Å
α = 90.00°, β = 108.82°, γ = 90.00°
Atoms (fractional coordinates):
Cs 0.733 0.750 0.941
Cs 0.267 0.250 0.059
Ho 0.793 0.750 0.457
Ho 0.207 0.250 0.543
Ti 0.240 0.750 0.344
Ti 0.760 0.250 0.656
S 0.001 0.500 0.686
S 0.999 0.000 0.314
S 0.999 0.500 0.314
S 0.001 0.000 0.686
S 0.445 0.750 0.197
S 0.555 0.250 0.803
S 0.460 0.750 0.574
S 0.540 0.250 0.426

[3]
VASP calculation (PBE) on a relaxed structure of Pm3DyMg4.

## Properties
Space group   P4/mmm (123)
Density   5.07 g cm⁻³
Total moment   0.00 μB per formula unit
VASP energy   -3.252 eV per atom
Energy of formation from the pure elements   -0.098 eV/atom

a = 3.842 Å, b = 3.842 Å, c = 15.422 Å
α = 90.00°, β = 90.00°, γ = 90.00°
Atoms (fractional coordinates):
Mg 0.000 0.000 0.880
Mg 0.000 0.000 0.120
Mg 0.000 0.000 0.373
Mg 0.000 0.000 0.627
Dy 0.500 0.500 0.000
Pm 0.500 0.500 0.246
Pm 0.500 0.500 0.500
Pm 0.500 0.500 0.754

[4]
VASP calculation (PBE) on a relaxed structure of KCa2Sb.

## Properties
Space group   I-4m2 (119)
E_form (uncorrected)   -0.264 eV per atom
Density   2.93 g cm⁻³
Total moment   1.78 μB per formula unit
VASP energy   -2.570 eV per atom

a = 6.659 Å, b = 6.659 Å, c = 6.659 Å
α = 136.83°, β = 136.83°, γ = 62.70°
Each line ends with the local moment (μB).
Atoms (fractional coordinates):
Ca 0.000 0.000 0.000  0.20
Ca 0.250 0.750 0.500  0.14
K 0.500 0.500 0.000  0.07
Sb 0.750 0.250 0.500  0.03

[5]
VASP calculation (PBE) on a relaxed structure of VTcRu3.

## Properties
Space group   P-1 (2)
Energy relative to the lowest polymorph listed for this composition   0 meV/atom
Density   10.66 g cm⁻³
Total moment   0.00 μB per formula unit
VASP energy   -9.463 eV per atom
Energy of formation from the pure elements   0.000 eV/atom

a = 4.309 Å, b = 5.409 Å, c = 6.575 Å
α = 102.76°, β = 109.05°, γ = 89.92°
Atoms (fractional coordinates):
V 0.500 0.257 0.501
V 0.500 0.743 0.499
Tc 0.105 0.155 0.709
Tc 0.895 0.845 0.291
Ru 0.305 0.027 0.111
Ru 0.696 0.474 0.891
Ru 0.107 0.666 0.714
Ru 0.893 0.334 0.286
Ru 0.695 0.973 0.889
Ru 0.304 0.526 0.109

[6]
VASP calculation (PBE) on a relaxed structure of InCo2H.

## Properties
Space group   Fm-3m (225)
Energy relative to the lowest polymorph listed for this composition   668 meV/atom
Density   7.86 g cm⁻³
Total moment   1.29 μB per formula unit
VASP energy   -4.231 eV per atom

a = 4.117 Å, b = 4.117 Å, c = 4.117 Å
α = 60.00°, β = 60.00°, γ = 60.00°
Each line ends with the local moment (μB).
Atoms (fractional coordinates):
H 0.000 0.000 0.000  -0.01
Co 0.250 0.250 0.250  0.70
Co 0.750 0.750 0.750  0.70
In 0.500 0.500 0.500  -0.06

[7]
VASP calculation (PBE) on a relaxed structure of In2HgI2.

## Properties
Space group   I4/mmm (139)
E_form (uncorrected)   -0.309 eV per atom
Energy relative to the lowest polymorph listed for this composition   37 meV/atom
Density   5.57 g cm⁻³
Total moment   0.00 μB per formula unit
VASP energy   -2.085 eV per atom

a = 6.603 Å, b = 6.603 Å, c = 6.609 Å
α = 60.03°, β = 60.03°, γ = 90.00°
Atoms (fractional coordinates):
I 0.750 0.250 0.500
I 0.250 0.750 0.500
Hg 0.000 0.000 0.000
In 0.324 0.324 0.352
In 0.676 0.676 0.648

[8]
VASP calculation (PBE) on a relaxed structure of Tb3MgHg.

## Properties
Space group   Cmcm (63)
Energy relative to the lowest polymorph listed for this composition   0 meV/atom
Density   8.39 g cm⁻³
Total moment   0.11 μB per formula unit
VASP energy   -3.361 eV per atom
Energy of formation from the pure elements   -0.203 eV/atom

a = 5.181 Å, b = 5.176 Å, c = 10.677 Å
α = 90.00°, β = 75.96°, γ = 90.00°
Each line ends with the local moment (μB).
Atoms (fractional coordinates):
Tb 0.762 0.250 0.124  0.00
Tb 0.381 0.250 0.886  0.00
Tb 0.573 0.250 0.502  0.07
Tb 0.267 0.750 0.114  0.00
Tb 0.886 0.750 0.876  0.00
Tb 0.075 0.750 0.498  0.07
Mg 0.478 0.750 0.693  0.00
Mg 0.171 0.250 0.307  0.00
Hg 0.665 0.750 0.319  0.00
Hg 0.983 0.250 0.681  0.00

[9]
VASP calculation (PBE) on a relaxed structure of DyZr5Sc12.

## Properties
Space group   C2/m (12)
Density   4.42 g cm⁻³
Total moment   0.00 μB per formula unit
VASP energy   -6.841 eV per atom
Energy of formation from the pure elements   0.010 eV/atom

a = 5.667 Å, b = 5.668 Å, c = 15.761 Å
α = 86.56°, β = 83.11°, γ = 60.01°
Atoms (fractional coordinates):
Dy 0.000 0.000 0.000
Zr 0.500 0.000 0.500
Zr 0.165 0.669 0.500
Zr 0.835 0.331 0.500
Zr 0.667 0.667 0.000
Zr 0.333 0.333 0.000
Sc 0.888 0.000 0.336
Sc 0.112 0.000 0.664
Sc 0.604 0.000 0.167
Sc 0.396 0.000 0.833
Sc 0.283 0.661 0.167
Sc 0.056 0.661 0.833
Sc 0.944 0.339 0.167
Sc 0.717 0.339 0.833
Sc 0.446 0.333 0.661
Sc 0.780 0.667 0.661
Sc 0.220 0.333 0.339
Sc 0.554 0.667 0.339

[10]
VASP calculation (PBE) on a relaxed structure of Cs2CaCl4.

## Properties
Space group   I4/mmm (139)
E_form (uncorrected)   -2.200 eV per atom
Density   2.87 g cm⁻³
Total moment   0.00 μB per formula unit
VASP energy   -3.785 eV per atom

a = 5.445 Å, b = 5.445 Å, c = 9.540 Å
α = 73.42°, β = 73.42°, γ = 90.00°
Atoms (fractional coordinates):
Cs 0.356 0.356 0.289
Cs 0.644 0.644 0.711
Ca 0.000 0.000 0.000
Cl 0.157 0.157 0.686
Cl 0.843 0.843 0.314
Cl 0.000 0.500 0.000
Cl 0.500 0.000 0.000

[11]
VASP calculation (PBE) on a relaxed structure of LaPuPd6.

## Properties
Space group   P4/mmm (123)
Density   11.53 g cm⁻³
Total moment   4.52 μB per formula unit
VASP energy   -6.982 eV per atom
Energy of formation from the pure elements   -0.680 eV/atom

a = 4.190 Å, b = 5.924 Å, c = 5.924 Å
α = 90.00°, β = 90.00°, γ = 90.00°
Each line ends with the local moment (μB).
Atoms (fractional coordinates):
La 0.500 0.000 0.000  -0.01
Pu 0.500 0.500 0.500  4.78
Pd 0.500 0.000 0.500  -0.05
Pd 0.500 0.500 0.000  -0.05
Pd 0.000 0.256 0.256  -0.04
Pd 0.000 0.744 0.744  -0.04
Pd 0.000 0.744 0.256  -0.04
Pd 0.000 0.256 0.744  -0.04

[12]
VASP calculation (PBE) on a relaxed structure of CsNaSr2Zn.

## Properties
Space group   P4/mmm (123)
Energy relative to the lowest polymorph listed for this composition   0 meV/atom
Density   2.53 g cm⁻³
Total moment   0.00 μB per formula unit
VASP energy   -1.283 eV per atom
Energy of formation from the pure elements   0.079 eV/atom

a = 6.344 Å, b = 6.344 Å, c = 6.469 Å
α = 90.00°, β = 90.00°, γ = 90.00°
Atoms (fractional coordinates):
Cs 0.500 0.500 0.500
Sr 0.000 0.500 0.000
Sr 0.500 0.000 0.000
Zn 0.000 0.000 0.000
Na 0.000 0.000 0.500

Question: density of number 12 (CsNaSr2Zn)?
Answer: 2.53 g cm⁻³